--- A ---
TlZn2W: relaxed, GGA-PBEsol.

Calculated values
The crystal system is tetragonal. The space group is P4/mmm (123). Its total magnetization is 0.18 μB/f.u.

Cell lengths 3.815, 4.105, 4.105 Å; angles 90.00, 90.00, 90.00 degrees
Fractional coordinates of all 4 atoms:
1 W 0.500 0.000 0.000
2 Zn 0.000 0.000 0.500
3 Zn 0.000 0.500 0.000
4 Tl 0.500 0.500 0.500

--- B ---
TlZn2W: relaxed, GGA-PBEsol.

Calculated values
The crystal system is monoclinic. The space group is P2/m (10). Its total magnetization is 0.00 μB/f.u.

Cell lengths 2.874, 5.006, 5.003 Å; angles 112.75, 90.00, 90.00 degrees
Fractional coordinates of all 4 atoms:
1 Zn 0.500 0.500 0.000
2 Zn 0.000 0.000 0.000
3 Tl 0.500 0.000 0.500
4 W 0.000 0.500 0.500

Which of them is least stable? Easy: A.